A relaxed structure of La2AlCdH, computed with PBE.

```
La2AlCdH
1.0
5.268 0.000 0.000
0.000 5.268 0.000
0.000 0.000 4.164
Cd Al La H
1 1 2 1
Direct
0.500 0.500 0.500
0.000 0.000 0.500
0.000 0.500 0.000
0.500 0.000 0.000
0.000 0.000 0.000
```

Results
**SG**: P4/mmm
**Excess energy over the best structure of this formula in the dataset**: 11 meV/atom
**Magnetic moment**: 0.0000 μB per atom